Record 1
Computed, not measured: a geometry-optimized MnP2Pb structure at the GGA-PBE level of DFT.

Cell lengths 5.067, 5.067, 5.067 Å; angles 132.46, 108.35, 90.58 degrees
Positions (direct):
Mn 0.750 0.250 0.500
P 0.585 0.585 0.000
Pb 0.250 0.750 0.500
P 0.915 0.915 0.000

Calculated values
DFT formation energy (eV/atom): 0.250
D(E_F) (states/eV/cell): 2.79
Space group: Immm (71)

Record 2
Computed, not measured: a geometry-optimized UIrRu structure at the GGA-PBE level of DFT.

Cell lengths 4.188, 4.188, 6.878 Å; angles 107.73, 107.73, 90.00 degrees
Positions (direct):
Ru 0.000 0.500 0.000
Ir 0.858 0.858 0.717
Ir 0.142 0.142 0.283
U 0.655 0.655 0.310
Ru 0.500 0.000 0.000
U 0.345 0.345 0.690

Calculated values
DFT formation energy (eV/atom): -0.462
D(E_F) (states/eV/cell): 6.44
Relative energy among the computed polymorphs (meV/atom): 0
Space group: I4/mmm (139)

Record 3
Computed, not measured: a geometry-optimized Cd2TeW structure at the GGA-PBE level of DFT.

Cell lengths 5.626, 5.626, 2.929 Å; angles 90.00, 90.00, 114.42 degrees
Positions (direct):
Cd 0.000 0.000 0.000
W 0.000 0.500 0.500
Te 0.500 0.000 0.500
Cd 0.500 0.500 0.000

Calculated values
D(E_F) (states/eV/cell): 3.16
ΔE_f (raw) (eV/atom): 0.704
Space group: Cmmm (65)